Material: K2Pu3FeO12
Method: DFT, PBE+U
State: relaxed

a = 7.8404 Å, b = 7.8404 Å, c = 17.6476 Å
α = 90.00°, β = 90.00°, γ = 120.00°
With the nearest neighbours (Å) after each atom.
Space group R-3m (No. 166, hexagonal axes)
One atom of each set of equivalent atoms:
K: 0.0000 0.0000 0.1438 [6 per cell]  9 O 3.22-3.46
Pu: 0.0000 0.5000 0.0000 [9 per cell]  6 O 1.93-2.11
Fe: 0.0000 0.0000 0.5000 [3 per cell]  6 O 2.00
O: 0.0807 0.5404 0.3627 [18 per cell]  2 Pu 2.11
O: 0.0866 0.5433 0.1043 [18 per cell]  1 Pu 1.93, 1 Fe 2.00

DFT total energy = -451.7 eV per cell
Total magnetization = 30.0 Bohr magnetons per cell
Density of states at the Fermi level = 21.50 states/eV/cell
V = 939.48 Å³/cell